No. 1
Compound: PrAl2
Source: OQMD via LeMat-Bulk
Functional: PBE
Structure: relaxed

Cell and atoms, written as CIF:
```
data_PrAl2
_symmetry_space_group_name_H-M 'P 42/m n m'
_symmetry_Int_Tables_number 136
_symmetry_space_group_name_Hall '-P 4n 2n'
_cell_length_a 5.884
_cell_length_b 5.884
_cell_length_c 5.775
_cell_angle_alpha 90.00
_cell_angle_beta 90.00
_cell_angle_gamma 90.00
loop_
_atom_site_label
_atom_site_type_symbol
_atom_site_fract_x
_atom_site_fract_y
_atom_site_fract_z
Pr1 Pr 0.000 0.000 0.000
Al1 Al 0.148 0.148 0.500
```

Values from the calculation:
Its raw total energy is -0.2622 Ry/atom. As for the total moment: 0.0002 μB/atom.


No. 2
Compound: PrAl3Pt
Source: OQMD via LeMat-Bulk
Functional: PBE
Structure: relaxed

Cell and atoms, written as CIF:
```
data_PrAl3Pt
_symmetry_space_group_name_H-M 'I 4 m m'
_symmetry_Int_Tables_number 107
_symmetry_space_group_name_Hall 'I 4 -2'
_cell_length_a 4.349
_cell_length_b 4.349
_cell_length_c 10.708
_cell_angle_alpha 90.00
_cell_angle_beta 90.00
_cell_angle_gamma 90.00
loop_
_atom_site_label
_atom_site_type_symbol
_atom_site_fract_x
_atom_site_fract_y
_atom_site_fract_z
Pr1 Pr 0.000 0.000 0.000
Al1 Al 0.000 0.000 0.413
Al2 Al 0.000 0.500 0.256
Pt1 Pt 0.000 0.000 0.642
```

Values from the calculation:
Its raw total energy is -0.3864 Ry/atom. As for the total moment: 0.0010 μB/atom.


No. 3
Compound: Pr3AlPt
Source: OQMD via LeMat-Bulk
Functional: PBE
Structure: relaxed

Cell and atoms, written as CIF:
```
data_Pr3AlPt
_symmetry_space_group_name_H-M 'P m -3 m'
_symmetry_Int_Tables_number 221
_symmetry_space_group_name_Hall '-P 4 2 3'
_cell_length_a 5.599
_cell_length_b 5.599
_cell_length_c 5.599
_cell_angle_alpha 90.00
_cell_angle_beta 90.00
_cell_angle_gamma 90.00
loop_
_atom_site_label
_atom_site_type_symbol
_atom_site_fract_x
_atom_site_fract_y
_atom_site_fract_z
Pr1 Pr 0.000 0.000 0.500
Al1 Al 0.500 0.500 0.500
Pt1 Pt 0.000 0.000 0.000
```

Values from the calculation:
Its raw total energy is -0.3684 Ry/atom. As for the total moment: 0.0063 μB/atom.


No. 4
Compound: PrAl6Pt4
Source: OQMD via LeMat-Bulk
Functional: PBE
Structure: relaxed

Cell and atoms, written as CIF:
```
data_PrAl6Pt4
_symmetry_space_group_name_H-M 'P -6 m 2'
_symmetry_Int_Tables_number 187
_symmetry_space_group_name_Hall 'P -6 2'
_cell_length_a 7.3319
_cell_length_b 7.3319
_cell_length_c 4.0691
_cell_angle_alpha 90.00
_cell_angle_beta 90.00
_cell_angle_gamma 120.00
loop_
_atom_site_label
_atom_site_type_symbol
_atom_site_fract_x
_atom_site_fract_y
_atom_site_fract_z
Pr1 Pr 0.0000 0.0000 0.0000
Al1 Al 0.2003 0.4006 0.5000
Al2 Al 0.5334 0.0667 0.0000
Pt1 Pt 0.3333 0.6667 0.0000
Pt2 Pt 0.4022 0.2011 0.5000
```

Values from the calculation:
Its raw total energy is -0.4197 Ry/atom. As for the total moment: 0.0014 μB/atom.


No. 5
Compound: PrAl2Pt2
Source: OQMD via LeMat-Bulk
Functional: PBE
Structure: relaxed

Cell and atoms, written as CIF:
```
data_PrAl2Pt2
_symmetry_space_group_name_H-M 'I 4/m m m'
_symmetry_Int_Tables_number 139
_symmetry_space_group_name_Hall '-I 4 2'
_cell_length_a 4.312
_cell_length_b 4.312
_cell_length_c 10.511
_cell_angle_alpha 90.00
_cell_angle_beta 90.00
_cell_angle_gamma 90.00
loop_
_atom_site_label
_atom_site_type_symbol
_atom_site_fract_x
_atom_site_fract_y
_atom_site_fract_z
Pr1 Pr 0.000 0.000 0.000
Al1 Al 0.000 0.000 0.373
Pt1 Pt 0.000 0.500 0.250
```

Values from the calculation:
Its raw total energy is -0.4316 Ry/atom. As for the total moment: 0.0012 μB/atom.


No. 6
Compound: PrAlZn2Pt
Source: OQMD via LeMat-Bulk
Functional: PBE
Structure: relaxed

Cell and atoms, written as CIF:
```
data_PrAlZn2Pt
_symmetry_space_group_name_H-M 'I -4 m 2'
_symmetry_Int_Tables_number 119
_symmetry_space_group_name_Hall 'I -4 -2'
_cell_length_a 4.062
_cell_length_b 4.062
_cell_length_c 11.494
_cell_angle_alpha 90.00
_cell_angle_beta 90.00
_cell_angle_gamma 90.00
loop_
_atom_site_label
_atom_site_type_symbol
_atom_site_fract_x
_atom_site_fract_y
_atom_site_fract_z
Pr1 Pr 0.000 0.000 0.000
Al1 Al 0.000 0.500 0.750
Zn1 Zn 0.000 0.000 0.391
Pt1 Pt 0.000 0.500 0.250
```

Values from the calculation:
Its raw total energy is -0.2939 Ry/atom. As for the total moment: 0.0016 μB/atom.